1.
CaY2TlO6 | PBE | relaxed

## Properties
E_form (uncorrected)   -2408.6 meV per atom
Size of the total moment   1.10 μB per formula unit
Electronic total energy   -7.113 eV/atom

a = 5.8423 Å, b = 5.8423 Å, c = 15.4364 Å
α = 90.00°, β = 90.00°, γ = 120.00°
Space group R3 (No. 146, hexagonal axes)
Symmetry-distinct sites (fractional):
Ca (0.0000, 0.0000, 0.0000)
Y (0.0000, 0.0000, 0.2161)
Y (0.0000, 0.0000, 0.7172)
Tl (0.0000, 0.0000, 0.5044)
O (0.0001, 0.2974, 0.1124)
O (0.0527, 0.6837, 0.2793)

---

2.
SrH2F2 | PBE | relaxed

## Properties
Size of the total moment   0.00 μB per formula unit
Electronic total energy   -3.648 eV/atom
ΔE to the lowest computed polymorph   5.33 eV per formula unit

a = 3.0879 Å, b = 3.0879 Å, c = 16.2002 Å
α = 90.00°, β = 90.00°, γ = 90.00°
Space group I4/mmm (No. 139)
Symmetry-distinct sites (fractional):
Sr (0.0000, 0.0000, 0.0000)
H (0.0000, 0.5000, 0.2500)
F (0.0000, 0.0000, 0.4242)

---

3.
CuS2O | PBE | relaxed

## Properties
E_form (uncorrected)   -345.0 meV per atom
Size of the total moment   0.00 μB per formula unit
Electronic total energy   -4.672 eV/atom

a = 4.0006 Å, b = 5.5712 Å, c = 6.9987 Å
α = 76.07°, β = 74.01°, γ = 80.24°
Space group P1 (No. 1)
Symmetry-distinct sites (fractional):
Cu (0.0000, 0.0000, 0.0000)
Cu (0.3166, 0.9943, 0.4021)
S (0.1328, 0.4942, 0.6870)
S (0.7583, 0.6965, 0.9615)
S (0.8433, 0.1275, 0.2953)
S (0.9703, 0.5069, 0.1964)
O (0.2928, 0.2701, 0.8154)
O (0.4053, 0.6736, 0.5914)

---

4.
CrFeAs2 | PBE | relaxed

## Properties
Size of the total moment   0.35 μB per formula unit
Formation energy from the elements   75 meV per atom
Electronic total energy   -6.771 eV/atom
ΔE to the lowest computed polymorph   1.11 eV per formula unit

a = 4.2441 Å, b = 4.2441 Å, c = 2.9978 Å
α = 90.00°, β = 90.00°, γ = 90.00°
Space group P4/mmm (No. 123)
Symmetry-distinct sites (fractional):
Cr (0.0000, 0.0000, 0.0000)
Fe (0.5000, 0.5000, 0.0000)
As (0.0000, 0.5000, 0.5000)

---

What is the size of the total moment in the fourth record? 0.35 μB per formula unit

---

What is the formula in the third record? CuS2O